DFT (PBE-GGA) results for MgBeCd4 after structural relaxation.

Final energy = -0.081 Ry/atom
ρ = 6.18 g cm⁻³
Total magnetic moment = 0.00 Bohr magnetons per cell
Symmetry = F-43m (216)
DFT formation energy = 0.39 eV/atom

Lattice parameters (Å, degrees): 5.6818 5.6818 5.6818 60.00 60.00 60.00
With the nearest neighbours (Å) after each atom.
Element x y z (fractional)
Mg  0.7500  0.7500  0.7500  12 Cd 3.33, 4 Be 3.48
Be  0.0000  0.0000  0.0000  12 Cd 3.33, 4 Mg 3.48
Cd  0.8752  0.3749  0.3749  6 Cd 2.84
Cd  0.3749  0.3749  0.8752  6 Cd 2.84
Cd  0.3749  0.8752  0.3749  6 Cd 2.84
Cd  0.3749  0.3749  0.3749  6 Cd 2.84